{"formula": "LiTm2Mg7", "functional": "GGA-PBE", "state": "optimized geometry", "formation_energy_mev_per_atom": 302, "sg": "Fm-3m (225)", "cell": [[-5.325, 0.175, -4.672], [-3.695, -5.886, -1.384], [-6.698, -0.587, 2.238]], "species": ["Mg", "Mg", "Mg", "Mg", "Mg", "Mg", "Mg", "Tm", "Tm", "Li"], "frac_coords": [[0.500, 0.500, 0.500], [0.238, 0.238, 0.762], [0.762, 0.238, 0.238], [0.238, 0.762, 0.238], [0.238, 0.762, 0.762], [0.762, 0.762, 0.238], [0.762, 0.238, 0.762], [0.750, 0.750, 0.750], [0.250, 0.250, 0.250], [0.000, 0.000, 0.000]]}